# BaLiY (PBEsol, relaxed)
data_BaLiY
_chemical_formula_sum 'Ba1 Li1 Y1'
_space_group_name_H-M_alt 'P 1'
_space_group_IT_number 1
_space_group_name_Hall 'P 1'
_cell_length_a 5.447
_cell_length_b 5.447
_cell_length_c 5.447
_cell_angle_alpha 60.00
_cell_angle_beta 60.00
_cell_angle_gamma 60.00
loop_
_atom_site_label
_atom_site_type_symbol
_atom_site_fract_x
_atom_site_fract_y
_atom_site_fract_z
Ba1 Ba 0.000 0.000 0.000
Li1 Li 0.250 0.250 0.250
Y1 Y 0.750 0.750 0.750
# Energy of formation from the pure elements ... 864.6 meV/atom
# N(E_F) ... 4.415 states/eV/cell
# SG ... No. 216


# BaSF2 (PBEsol, relaxed)
data_BaSF2
_chemical_formula_sum 'Ba2 S2 F4'
_space_group_name_H-M_alt 'P 1'
_space_group_IT_number 1
_space_group_name_Hall 'P 1'
_cell_length_a 8.541
_cell_length_b 8.541
_cell_length_c 8.541
_cell_angle_alpha 149.61
_cell_angle_beta 149.61
_cell_angle_gamma 43.51
loop_
_atom_site_label
_atom_site_type_symbol
_atom_site_fract_x
_atom_site_fract_y
_atom_site_fract_z
Ba1 Ba 0.000 0.000 0.000
Ba2 Ba 0.750 0.250 0.500
S1 S 0.250 0.750 0.500
S2 S 0.500 0.500 0.000
F1 F 0.179 0.625 0.054
F2 F 0.375 0.429 0.554
F3 F 0.571 0.125 0.946
F4 F 0.875 0.821 0.446
# N(E_F) ... 2.939 states/eV/cell
# SG ... No. 122
# E_form (uncorrected) ... -1.95 eV/atom


# LuCuS2 (PBEsol, relaxed)
data_LuCuS2
_chemical_formula_sum 'Lu4 Cu4 S8'
_space_group_name_H-M_alt 'P 1'
_space_group_IT_number 1
_space_group_name_Hall 'P 1'
_cell_length_a 12.945
_cell_length_b 3.829
_cell_length_c 6.106
_cell_angle_alpha 90.00
_cell_angle_beta 90.00
_cell_angle_gamma 90.00
loop_
_atom_site_label
_atom_site_type_symbol
_atom_site_fract_x
_atom_site_fract_y
_atom_site_fract_z
Lu1 Lu 0.132 0.250 0.006
Lu2 Lu 0.368 0.750 0.506
Lu3 Lu 0.632 0.250 0.494
Lu4 Lu 0.868 0.750 0.994
Cu1 Cu 0.044 0.750 0.373
Cu2 Cu 0.456 0.250 0.873
Cu3 Cu 0.544 0.750 0.127
Cu4 Cu 0.956 0.250 0.627
S1 S 0.043 0.750 0.756
S2 S 0.207 0.750 0.240
S3 S 0.293 0.250 0.740
S4 S 0.457 0.250 0.256
S5 S 0.543 0.750 0.744
S6 S 0.707 0.750 0.260
S7 S 0.793 0.250 0.760
S8 S 0.957 0.250 0.244
# N(E_F) ... 0.000 states/eV/cell
# SG ... No. 62
# E_form (uncorrected) ... -1.41 eV/atom